Record 1
# GaAgAsO

An optimized crystal structure of GaAgAsO (GGA-PBE, OQMD via LeMat-Bulk).

a b c (Å): 4.178 4.178 8.718
angles (deg): 90.00 90.00 90.00
Fractional coordinates of all 8 atoms:
Ga 0.250 0.750 0.000
Ga 0.750 0.250 0.000
Ag 0.250 0.250 0.440
Ag 0.750 0.750 0.560
As 0.250 0.250 0.820
As 0.750 0.750 0.180
O 0.250 0.750 0.500
O 0.750 0.250 0.500

Output
Symmetry: P4/nmm, No. 129
Excess energy over the best structure of this formula in the dataset in meV per atom: 621.9
Total energy in eV for the cell shown: -30.53
Volume in Å³ per atom: 19.03

=====

Record 2
# GaAgAsO

An optimized crystal structure of GaAgAsO (GGA-PBE, OQMD via LeMat-Bulk).

a b c (Å): 3.044 6.951 6.752
angles (deg): 90.00 90.00 90.00
Fractional coordinates of all 8 atoms:
Ga 0.000 0.176 0.000
Ga 0.000 0.824 0.500
Ag 0.500 0.371 0.585
Ag 0.500 0.629 0.085
As 0.000 0.153 0.366
As 0.000 0.847 0.866
O 0.500 0.318 0.928
O 0.500 0.682 0.428

Output
Symmetry: Pmc2_1, No. 26
Excess energy over the best structure of this formula in the dataset in meV per atom: 0.0
Total energy in eV for the cell shown: -35.51
Volume in Å³ per atom: 17.86

=====

Record 3
# GdAgAs

An optimized crystal structure of GdAgAs (GGA-PBE, OQMD via LeMat-Bulk).

a b c (Å): 4.655 4.655 4.655
angles (deg): 60.00 60.00 60.00
Fractional coordinates of all 3 atoms:
Gd 0.000 0.000 0.000
Ag 0.750 0.750 0.750
As 0.500 0.500 0.500

Output
Symmetry: F-43m, No. 216
Total energy in eV for the cell shown: -13.48
Volume in Å³ per atom: 23.78

=====

Record 4
# GdAgAs

An optimized crystal structure of GdAgAs (GGA-PBE, OQMD via LeMat-Bulk).

a b c (Å): 4.781 4.781 4.781
angles (deg): 60.00 60.00 60.00
Fractional coordinates of all 3 atoms:
Gd 0.000 0.000 0.000
Ag 0.750 0.750 0.750
As 0.250 0.250 0.250

Output
Symmetry: F-43m, No. 216
Total energy in eV for the cell shown: -13.47
Volume in Å³ per atom: 25.76

=====

Record 5
# GdHoAg2As4

An optimized crystal structure of GdHoAg2As4 (GGA-PBE, OQMD via LeMat-Bulk).

a b c (Å): 3.999 3.999 10.309
angles (deg): 90.00 90.00 90.00
Fractional coordinates of all 8 atoms:
Gd 0.000 0.000 0.000
Ho 0.500 0.500 0.451
Ag 0.000 0.500 0.724
Ag 0.500 0.000 0.724
As 0.000 0.000 0.535
As 0.000 0.500 0.228
As 0.500 0.000 0.228
As 0.500 0.500 0.912

Output
Symmetry: P4mm, No. 99
Total energy in eV for the cell shown: -39.52
Volume in Å³ per atom: 20.61

=====

Record 6
# LaGdAg2As4

An optimized crystal structure of LaGdAg2As4 (GGA-PBE, OQMD via LeMat-Bulk).

a b c (Å): 4.063 4.063 10.544
angles (deg): 90.00 90.00 90.00
Fractional coordinates of all 8 atoms:
La 0.000 0.000 0.000
Gd 0.500 0.500 0.456
Ag 0.000 0.500 0.722
Ag 0.500 0.000 0.722
As 0.000 0.000 0.542
As 0.000 0.500 0.235
As 0.500 0.000 0.235
As 0.500 0.500 0.901

Output
Symmetry: P4mm, No. 99
Total energy in eV for the cell shown: -40.18
Volume in Å³ per atom: 21.75

=====

Record 7
# LaGdAg2Sb2As2

An optimized crystal structure of LaGdAg2Sb2As2 (GGA-PBE, OQMD via LeMat-Bulk).

a b c (Å): 4.242 4.242 10.645
angles (deg): 90.00 90.00 90.00
Fractional coordinates of all 8 atoms:
La 0.000 0.000 0.000
Gd 0.500 0.500 0.433
Ag 0.000 0.500 0.709
Ag 0.500 0.000 0.709
Sb 0.000 0.000 0.526
Sb 0.500 0.500 0.891
As 0.000 0.500 0.223
As 0.500 0.000 0.223

Output
Symmetry: P4mm, No. 99
Total energy in eV for the cell shown: -38.31
Volume in Å³ per atom: 23.94

=====

Record 8
# GdAgAsO

An optimized crystal structure of GdAgAsO (GGA-PBE, OQMD via LeMat-Bulk).

a b c (Å): 4.505 6.085 5.748
angles (deg): 90.00 90.00 90.00
Fractional coordinates of all 8 atoms:
Gd 0.000 0.248 0.000
Gd 0.000 0.752 0.500
Ag 0.500 0.369 0.406
Ag 0.500 0.631 0.906
As 0.500 0.041 0.724
As 0.500 0.959 0.224
O 0.000 0.445 0.317
O 0.000 0.555 0.817

Output
Symmetry: Pmc2_1, No. 26
Excess energy over the best structure of this formula in the dataset in meV per atom: 353.3
Total energy in eV for the cell shown: -44.28
Volume in Å³ per atom: 19.70

=====

Record 9
# GdAgAsO

An optimized crystal structure of GdAgAsO (GGA-PBE, OQMD via LeMat-Bulk).

a b c (Å): 3.759 7.850 6.010
angles (deg): 90.00 90.00 90.00
Fractional coordinates of all 8 atoms:
Gd 0.000 0.214 0.000
Gd 0.000 0.786 0.500
Ag 0.500 0.375 0.529
Ag 0.500 0.625 0.029
As 0.000 0.159 0.500
As 0.000 0.841 0.000
O 0.500 0.341 0.007
O 0.500 0.659 0.507

Output
Symmetry: Pmc2_1, No. 26
Excess energy over the best structure of this formula in the dataset in meV per atom: 361.8
Total energy in eV for the cell shown: -44.22
Volume in Å³ per atom: 22.17

=====

Record 10
# GdAgAsO

An optimized crystal structure of GdAgAsO (GGA-PBE, OQMD via LeMat-Bulk).

a b c (Å): 3.997 3.997 9.241
angles (deg): 90.00 90.00 90.00
Fractional coordinates of all 8 atoms:
Gd 0.250 0.250 0.119
Gd 0.750 0.750 0.881
Ag 0.250 0.750 0.500
Ag 0.750 0.250 0.500
As 0.250 0.250 0.696
As 0.750 0.750 0.304
O 0.250 0.750 0.000
O 0.750 0.250 0.000

Output
Symmetry: P4/nmm, No. 129
Excess energy over the best structure of this formula in the dataset in meV per atom: 0.0
Total energy in eV for the cell shown: -47.11
Volume in Å³ per atom: 18.45

=====

Record 11
# Gd2ZnAgAs2O2

An optimized crystal structure of Gd2ZnAgAs2O2 (GGA-PBE, OQMD via LeMat-Bulk).

a b c (Å): 3.962 3.962 9.151
angles (deg): 90.00 90.00 90.00
Fractional coordinates of all 8 atoms:
Gd 0.000 0.500 0.123
Gd 0.500 0.000 0.877
Zn 0.500 0.500 0.500
Ag 0.000 0.000 0.500
As 0.000 0.500 0.690
As 0.500 0.000 0.310
O 0.000 0.000 0.000
O 0.500 0.500 0.000

Output
Symmetry: P-4m2, No. 115
Total energy in eV for the cell shown: -46.47
Volume in Å³ per atom: 17.96

=====

Record 12
# PrGdAg2As4

An optimized crystal structure of PrGdAg2As4 (GGA-PBE, OQMD via LeMat-Bulk).

a b c (Å): 4.047 4.047 10.493
angles (deg): 90.00 90.00 90.00
Fractional coordinates of all 8 atoms:
Pr 0.000 0.000 0.000
Gd 0.500 0.500 0.545
Ag 0.000 0.500 0.277
Ag 0.500 0.000 0.277
As 0.000 0.000 0.460
As 0.000 0.500 0.767
As 0.500 0.000 0.767
As 0.500 0.500 0.095

Output
Symmetry: P4mm, No. 99
Total energy in eV for the cell shown: -39.83
Volume in Å³ per atom: 21.49

=====

Q: Among the records above, which one has the lowest volume?
A: number 2